Material: PrPuIr4
Method: DFT, PBE-GGA
State: optimized geometry

It has space group F-43m (No. 216), with a = 7.655 Å, b = 7.655 Å, c = 7.655 Å, α = 90.00°, β = 90.00° and γ = 90.00°. The asymmetric unit holds Pr at (0.000, 0.000, 0.000), Pu at (0.250, 0.250, 0.250) and Ir at (0.125, 0.125, 0.625).

The calculated total energy is -232.4 eV per cell. The calculation puts the density of states at the Fermi level at 49.9 states/eV/cell.


Material: Pr3Pu2Ir4
Method: DFT, PBE-GGA
State: optimized geometry

It has space group C2/m (No. 12), with a = 12.426 Å, b = 4.222 Å, c = 8.942 Å, α = 90.00°, β = 111.74° and γ = 90.00°. The asymmetric unit holds Pr at (0.000, 0.000, 0.000), Pr at (0.113, 0.500, 0.709), Pu at (0.186, 0.500, 0.339), Ir at (0.078, 0.000, 0.418) and Ir at (0.212, 0.500, 0.057).

The calculated total energy is -165.5 eV per cell. The calculation puts the density of states at the Fermi level at 31.6 states/eV/cell.


Material: PrPu3Ir2
Method: DFT, PBE-GGA
State: optimized geometry

It has space group Pmc2_1 (No. 26), with a = 4.074 Å, b = 8.781 Å, c = 8.036 Å, α = 90.00°, β = 90.00° and γ = 90.00°. The asymmetric unit holds Pr at (0.000, 0.086, 0.000), Pu at (0.000, 0.306, 0.604), Pu at (0.500, 0.195, 0.331), Pu at (0.500, 0.426, 0.940), Ir at (0.000, 0.395, 0.224) and Ir at (0.500, 0.121, 0.720).

The calculated total energy is -135.2 eV per cell. The calculation puts the density of states at the Fermi level at 49.4 states/eV/cell.


Material: Pr2Pu5Ir3
Method: DFT, PBE-GGA
State: optimized geometry

It has space group Cmc2_1 (No. 36), with a = 4.915 Å, b = 27.259 Å, c = 7.082 Å, α = 90.00°, β = 90.00° and γ = 90.00°. The asymmetric unit holds Pr at (0.000, 0.019, 0.000), Pr at (0.000, 0.326, 0.997), Pu at (0.000, 0.110, 0.327), Pu at (0.000, 0.197, 0.203), Pu at (0.000, 0.205, 0.768), Pu at (0.000, 0.375, 0.490), Pu at (0.000, 0.448, 0.155), Ir at (0.000, 0.102, 0.729), Ir at (0.000, 0.274, 0.475) and Ir at (0.000, 0.447, 0.763).

The calculated total energy is -444.9 eV per cell. The calculation puts the density of states at the Fermi level at 112.6 states/eV/cell.


Material: Pr3PuIr8
Method: DFT, PBE-GGA
State: optimized geometry

It has space group R3m (No. 160, hexagonal axes), with a = 5.4392 Å, b = 5.4392 Å, c = 26.6082 Å, α = 90.00°, β = 90.00° and γ = 120.00°. The asymmetric unit holds Pr at (0.0000, 0.0000, 0.0000), Pr at (0.0000, 0.0000, 0.1255), Pr at (0.0000, 0.0000, 0.5009), Pu at (0.0000, 0.0000, 0.6252), Ir at (0.0000, 0.0000, 0.3128), Ir at (0.0000, 0.0000, 0.8129), Ir at (0.0017, 0.5009, 0.5641) and Ir at (0.1679, 0.3357, 0.3951).

The calculated total energy is -321.2 eV per cell. The calculation puts the density of states at the Fermi level at 48.4 states/eV/cell.


Material: Pr2PuIr3
Method: DFT, PBE-GGA
State: optimized geometry

It has space group Immm (No. 71), with a = 4.298 Å, b = 5.791 Å, c = 11.741 Å, α = 90.00°, β = 90.00° and γ = 90.00°. The asymmetric unit holds Pr at (0.000, 0.000, 0.171), Pu at (0.000, 0.000, 0.500), Ir at (0.000, 0.500, 0.136) and Ir at (0.000, 0.500, 0.500).

The calculated total energy is -105.2 eV per cell. The calculation puts the density of states at the Fermi level at 13.6 states/eV/cell.


Material: PrPuIrRh
Method: DFT, PBE-GGA
State: optimized geometry

It has space group F-43m (No. 216), with a = 7.002 Å, b = 7.002 Å, c = 7.002 Å, α = 90.00°, β = 90.00° and γ = 90.00°. The asymmetric unit holds Pr at (0.000, 0.000, 0.000), Pu at (0.000, 0.000, 0.500), Ir at (0.250, 0.250, 0.750) and Rh at (0.250, 0.250, 0.250).

The calculated total energy is -148.6 eV per cell. The calculation puts the density of states at the Fermi level at 37.7 states/eV/cell.


Material: PrPuIrRu
Method: DFT, PBE-GGA
State: optimized geometry

It has space group F-43m (No. 216), with a = 6.963 Å, b = 6.963 Å, c = 6.963 Å, α = 90.00°, β = 90.00° and γ = 90.00°. The asymmetric unit holds Pr at (0.000, 0.000, 0.000), Pu at (0.000, 0.000, 0.500), Ir at (0.250, 0.250, 0.250) and Ru at (0.250, 0.250, 0.750).

The calculated total energy is -152.5 eV per cell. The calculation puts the density of states at the Fermi level at 30.4 states/eV/cell.


Material: Pr2PuSb3Ir4
Method: DFT, PBE-GGA
State: optimized geometry

It has space group P-4m2 (No. 115), with a = 4.390 Å, b = 4.390 Å, c = 11.597 Å, α = 90.00°, β = 90.00° and γ = 90.00°. The asymmetric unit holds Pr at (0.000, 0.500, 0.231), Pu at (0.000, 0.000, 0.500), Sb at (0.000, 0.500, 0.868), Sb at (0.500, 0.500, 0.500), Ir at (0.000, 0.000, 0.000), Ir at (0.000, 0.500, 0.645) and Ir at (0.500, 0.500, 0.000).

The calculated total energy is -77.7 eV per cell. The calculation puts the density of states at the Fermi level at 9.9 states/eV/cell.


Material: Pr2PuSi3Ir4
Method: DFT, PBE-GGA
State: optimized geometry

It has space group P-4m2 (No. 115), with a = 4.197 Å, b = 4.197 Å, c = 10.814 Å, α = 90.00°, β = 90.00° and γ = 90.00°. The asymmetric unit holds Pr at (0.000, 0.500, 0.234), Pu at (0.000, 0.000, 0.500), Si at (0.000, 0.500, 0.882), Si at (0.500, 0.500, 0.500), Ir at (0.000, 0.000, 0.000), Ir at (0.000, 0.500, 0.656) and Ir at (0.500, 0.500, 0.000).

The calculated total energy is -84.3 eV per cell. The calculation puts the density of states at the Fermi level at 6.5 states/eV/cell.


Material: PrPuZnIr
Method: DFT, PBE-GGA
State: optimized geometry

It has space group F-43m (No. 216), with a = 7.120 Å, b = 7.120 Å, c = 7.120 Å, α = 90.00°, β = 90.00° and γ = 90.00°. The asymmetric unit holds Pr at (0.000, 0.000, 0.000), Pu at (0.000, 0.000, 0.500), Zn at (0.250, 0.250, 0.750) and Ir at (0.250, 0.250, 0.250).

The calculated total energy is -122.0 eV per cell. The calculation puts the density of states at the Fermi level at 33.3 states/eV/cell.


Material: Pr8IrRh5
Method: DFT, PBE-GGA
State: optimized geometry

It has space group I-4 (No. 82), with a = 8.945 Å, b = 8.945 Å, c = 8.934 Å, α = 90.00°, β = 90.00° and γ = 90.00°. The asymmetric unit holds Pr at (0.058, 0.310, 0.437), Pr at (0.060, 0.191, 0.817), Ir at (0.000, 0.500, 0.750), Rh at (0.000, 0.000, 0.500) and Rh at (0.124, 0.250, 0.127).

The calculated total energy is -184.3 eV per cell. The calculation puts the density of states at the Fermi level at 19.1 states/eV/cell.